This record from the Open Quantum Materials Database describes a relaxed Co2TeBr2O3 crystal. The functional is PBE+U.

Values from the calculation:
E_tot in eV per atom: -4.7979

a = 5.200 Å, b = 6.747 Å, c = 8.260 Å
α = 90.00°, β = 105.67°, γ = 90.00°
Space group P2_1/m (No. 11)
Asymmetric unit:
Co  0.000  0.000  0.000 x2
Co  0.261  0.250  0.803 x2
Te  0.401  0.750  0.751 x2
Br  0.160  0.250  0.487 x2
Br  0.261  0.750  0.227 x2
O  0.245  0.541  0.847 x4
O  0.256  0.250  0.069 x2